1) 4
Lattice="4.859 0.000 0.000 0.000 4.879 0.000 0.000 0.000 4.933" Properties=species:S:1:pos:R:3 comment="PmDyYIn (PBE-GGA, relaxed)" vol_a3_per_atom=29.23 magnetic_moment_mub_per_atom=0.14 pbc="T T T"
Pm 0.000 0.000 0.000
Dy 2.429 2.440 0.000
Y 2.429 0.000 2.466
In 0.000 2.440 2.466

***

2) 4
Lattice="0.000 3.889 3.889 3.889 0.000 3.889 3.889 3.889 0.000" Properties=species:S:1:pos:R:3 comment="PmDyYIn (PBE-GGA, relaxed)" vol_a3_per_atom=29.41 magnetic_moment_mub_per_atom=0.30 pbc="T T T"
Pm 0.000 0.000 0.000
Dy 5.834 5.834 5.834
Y 3.889 3.889 3.889
In 1.945 1.945 1.945

***

1) is the most stable structure shown above.